Compound: TcAs2F
Source: Alexandria via LeMat-Bulk
Functional: PBE
Structure: relaxed

formation energy (no corrections): -0.140 eV per atom
polymorph energy (0 for the lowest one): 0.015 eV/atom
space-group type: I-42d

Lattice parameters (Å, degrees): 5.5761 5.5761 6.7647 65.66 65.66 90.00
Closest atoms and distances in Å follow each position.
Element x y z (fractional)
As 0.6440 0.1250 0.2500  2 Tc 2.34, 2 F 2.47
As 0.1060 0.6250 0.2500  2 Tc 2.34, 2 F 2.47
As 0.3750 0.3560 0.7500  2 Tc 2.34, 2 F 2.47
As 0.8750 0.8940 0.7500  2 Tc 2.34, 2 F 2.47
Tc 0.0000 0.0000 0.0000  4 As 2.34
Tc 0.7500 0.2500 0.5000  4 As 2.34
F 0.5000 0.5000 0.0000  4 As 2.47
F 0.2500 0.7500 0.5000  4 As 2.47